(1)
Here is crystalline Cr2AsAu at its relaxed geometry from the Alexandria database. Energies are from PBE-GGA.

D(E_F) = 1.719 states/eV/atom
Energy relative to the elements = 414 meV/atom

Geometry as POSCAR:
```
Cr2AsAu
1.0
8.430 0.002 0.001
7.953 2.797 0.001
7.953 1.359 2.445
As Au Cr
1 1 2
direct
0.250 0.250 0.250 As
0.750 0.750 0.750 Au
0.993 0.993 0.993 Cr
0.507 0.507 0.507 Cr
```

***

(2)
Here is crystalline CaMn2Pb at its relaxed geometry from the Alexandria database. Energies are from PBE-GGA.

D(E_F) = 0.655 states/eV/atom
Distance to the lowest polymorph of the same formula = 0.506 eV per atom
Energy relative to the elements = 615 meV/atom

Geometry as POSCAR:
```
CaMn2Pb
1.0
-2.185 7.777 1.010
-4.965 -2.183 6.071
-1.275 3.181 5.560
Pb Ca Mn
2 2 4
direct
0.000 0.000 0.000 Pb
0.750 0.250 0.500 Pb
0.500 0.500 0.000 Ca
0.250 0.750 0.500 Ca
0.660 0.125 0.250 Mn
0.090 0.625 0.250 Mn
0.375 0.340 0.750 Mn
0.875 0.910 0.750 Mn
```

***

(3)
Here is crystalline K2RbAcI6 at its relaxed geometry from the Alexandria database. Energies are from PBE-GGA.

D(E_F) = 0.000 states/eV/atom
Formation energy from raw total energies = -1.515 eV/atom

Geometry as POSCAR:
```
K2RbAcI6
1.0
-7.546 -2.808 -3.852
-5.097 -6.085 4.082
-8.213 2.814 3.698
K Rb Ac I
2 1 1 6
direct
0.523 0.523 0.432 K
0.013 0.013 0.962 K
0.813 0.813 0.560 Rb
0.323 0.323 0.031 Ac
0.581 0.221 0.245 I
0.221 0.953 0.245 I
0.953 0.581 0.245 I
0.403 0.700 0.765 I
0.700 0.132 0.765 I
0.132 0.403 0.765 I
```

***

(4)
Here is crystalline Pr2NdAg5 at its relaxed geometry from the Alexandria database. Energies are from PBE-GGA.

D(E_F) = 0.759 states/eV/atom
Energy relative to the elements = -193 meV/atom

Geometry as POSCAR:
```
Pr2NdAg5
1.0
-4.752 0.563 -2.063
-0.747 -5.147 0.316
-0.068 3.113 7.586
Pr Nd Ag
2 1 5
direct
0.729 0.729 0.458 Pr
0.271 0.271 0.542 Pr
0.000 0.000 0.000 Nd
0.500 0.500 0.000 Ag
0.886 0.386 0.771 Ag
0.386 0.886 0.771 Ag
0.114 0.614 0.229 Ag
0.614 0.114 0.229 Ag
```

***

(5)
Here is crystalline Nb2SbHPt at its relaxed geometry from the Alexandria database. Energies are from PBE-GGA.

D(E_F) = 1.201 states/eV/atom
E_tot = -24.24 eV per cell

Geometry as POSCAR:
```
Nb2SbHPt
1.0
5.161 0.000 0.000
0.000 4.851 0.000
0.000 0.000 5.161
Sb Nb Pt H
1 2 1 1
direct
0.000 0.000 0.000 Sb
0.000 0.000 0.500 Nb
0.500 0.000 0.000 Nb
0.000 0.500 0.000 Pt
0.500 0.500 0.500 H
```

***

(6)
Here is crystalline La3Sm2Dy2 at its relaxed geometry from the Alexandria database. Energies are from PBE-GGA.

D(E_F) = 1.563 states/eV/atom
Distance to the lowest polymorph of the same formula = 0.000 eV per atom
Energy relative to the elements = 24 meV/atom

Geometry as POSCAR:
```
La3Sm2Dy2
1.0
-3.112 1.848 0.553
-4.583 -11.127 -0.792
-2.250 -1.851 5.630
La Sm Dy
3 2 2
direct
0.000 0.000 0.000 La
0.573 0.429 0.284 La
0.427 0.571 0.716 La
0.857 0.142 0.428 Sm
0.143 0.858 0.572 Sm
0.711 0.284 0.861 Dy
0.289 0.716 0.139 Dy
```

***

(7)
Here is crystalline TbPm6DyTm2 at its relaxed geometry from the Alexandria database. Energies are from PBE-GGA.

D(E_F) = 1.450 states/eV/atom
Energy relative to the elements = 117 meV/atom

Geometry as POSCAR:
```
TbPm6DyTm2
1.0
9.148 -1.997 -2.073
0.818 8.620 -2.001
0.818 -2.319 8.540
Tb Pm Dy Tm
2 12 2 4
direct
0.250 0.971 0.029 Tb
0.750 0.029 0.971 Tb
0.055 0.115 0.761 Pm
0.445 0.239 0.885 Pm
0.945 0.885 0.239 Pm
0.555 0.761 0.115 Pm
0.315 0.989 0.438 Pm
0.185 0.562 0.011 Pm
0.685 0.011 0.562 Pm
0.815 0.438 0.989 Pm
0.118 0.707 0.488 Pm
0.382 0.512 0.293 Pm
0.882 0.293 0.512 Pm
0.618 0.488 0.707 Pm
0.250 0.410 0.590 Dy
0.750 0.590 0.410 Dy
0.453 0.799 0.702 Tm
0.047 0.298 0.201 Tm
0.547 0.201 0.298 Tm
0.953 0.702 0.799 Tm
```

***

(8)
Here is crystalline NdEr2Fe at its relaxed geometry from the Alexandria database. Energies are from PBE-GGA.

D(E_F) = 0.725 states/eV/atom
Distance to the lowest polymorph of the same formula = 0.000 eV per atom
Energy relative to the elements = 46 meV/atom

Geometry as POSCAR:
```
NdEr2Fe
1.0
-2.859 -0.259 1.729
1.483 -2.113 2.136
2.501 6.992 5.183
Nd Fe Er
1 1 2
direct
0.500 0.500 0.500 Nd
0.500 0.500 0.000 Fe
0.000 0.000 0.825 Er
0.000 0.000 0.175 Er
```

***

(9)
Here is crystalline ScVPt3 at its relaxed geometry from the Alexandria database. Energies are from PBE-GGA.

D(E_F) = 0.970 states/eV/atom
Distance to the lowest polymorph of the same formula = 0.000 eV per atom
Energy relative to the elements = 59 meV/atom

Geometry as POSCAR:
```
ScVPt3
1.0
-0.754 -4.186 1.864
2.212 1.322 3.864
-4.013 1.515 1.779
Sc Pt V
1 3 1
direct
0.500 0.500 0.500 Sc
0.000 0.500 0.000 Pt
0.000 0.000 0.500 Pt
0.500 0.000 0.000 Pt
0.000 0.000 0.000 V
```

***

(10)
Here is crystalline BaNaScB2O6 at its relaxed geometry from the Alexandria database. Energies are from PBE-GGA.

D(E_F) = 0.000 states/eV/atom
Formation energy from raw total energies = -2.780 eV/atom

Geometry as POSCAR:
```
BaNaScB2O6
1.0
12.202 0.045 0.027
11.040 5.198 0.027
11.040 2.491 4.563
Ba Na Sc B O
2 2 2 4 12
direct
0.897 0.897 0.897 Ba
0.103 0.103 0.103 Ba
0.625 0.625 0.625 Na
0.375 0.375 0.375 Na
0.000 0.000 0.000 Sc
0.500 0.500 0.500 Sc
0.296 0.296 0.296 B
0.704 0.704 0.704 B
0.202 0.202 0.202 B
0.798 0.798 0.798 B
0.195 0.100 0.596 O
0.596 0.195 0.100 O
0.100 0.596 0.195 O
0.805 0.900 0.404 O
0.404 0.805 0.900 O
0.900 0.404 0.805 O
0.354 0.354 0.901 O
0.901 0.354 0.354 O
0.354 0.901 0.354 O
0.646 0.646 0.099 O
0.099 0.646 0.646 O
0.646 0.099 0.646 O
```

***

(11)
Here is crystalline NbGa3Pd at its relaxed geometry from the Alexandria database. Energies are from PBE-GGA.

D(E_F) = 1.239 states/eV/atom
Distance to the lowest polymorph of the same formula = 0.000 eV per atom
Energy relative to the elements = 518 meV/atom

Geometry as POSCAR:
```
NbGa3Pd
1.0
4.690 0.000 0.000
0.000 4.690 0.000
0.000 0.000 4.690
Nb Ga Pd
1 3 1
direct
0.500 0.500 0.500 Nb
0.000 0.500 0.000 Ga
0.000 0.000 0.500 Ga
0.500 0.000 0.000 Ga
0.000 0.000 0.000 Pd
```

***

(12)
Here is crystalline PrThMgZr at its relaxed geometry from the Alexandria database. Energies are from PBE-GGA.

D(E_F) = 1.552 states/eV/atom
Energy relative to the elements = 137 meV/atom

Geometry as POSCAR:
```
PrThMgZr
1.0
-3.222 3.566 -2.533
-0.827 -0.412 -5.354
-4.844 -1.579 -1.887
Pr Mg Zr Th
1 1 1 1
direct
0.000 0.000 0.000 Pr
0.250 0.250 0.250 Mg
0.750 0.750 0.750 Zr
0.500 0.500 0.500 Th
```

***

(13)
Here is crystalline BaBeHg4 at its relaxed geometry from the Alexandria database. Energies are from PBE-GGA.

D(E_F) = 0.663 states/eV/atom
Energy relative to the elements = 162 meV/atom

Geometry as POSCAR:
```
BaBeHg4
1.0
0.000 4.386 4.386
4.386 0.000 4.386
4.386 4.386 0.000
Ba Be Hg
1 1 4
direct
0.750 0.750 0.750 Ba
0.000 0.000 0.000 Be
0.878 0.374 0.374 Hg
0.374 0.374 0.878 Hg
0.374 0.878 0.374 Hg
0.374 0.374 0.374 Hg
```

***

(14)
Here is crystalline BaMoPb2 at its relaxed geometry from the Alexandria database. Energies are from PBE-GGA.

D(E_F) = 0.656 states/eV/atom
Distance to the lowest polymorph of the same formula = 0.250 eV per atom
Energy relative to the elements = 494 meV/atom

Geometry as POSCAR:
```
BaMoPb2
1.0
0.000 3.883 3.883
3.883 0.000 3.883
3.883 3.883 0.000
Pb Mo Ba
2 1 1
direct
0.250 0.250 0.250 Pb
0.750 0.750 0.750 Pb
0.000 0.000 0.000 Mo
0.500 0.500 0.500 Ba
```

***

(15)
Here is crystalline Ce2Au17 at its relaxed geometry from the Alexandria database. Energies are from PBE-GGA.

D(E_F) = 1.086 states/eV/atom
Energy relative to the elements = -229 meV/atom

Geometry as POSCAR:
```
Ce2Au17
1.0
7.276 -0.015 1.025
0.889 7.221 1.025
-0.017 -0.015 7.348
Ce Au
2 17
direct
0.335 0.335 0.335 Ce
0.665 0.665 0.665 Ce
0.643 0.643 0.159 Au
0.159 0.643 0.643 Au
0.897 0.897 0.897 Au
0.103 0.103 0.103 Au
0.000 0.000 0.500 Au
0.000 0.500 0.000 Au
0.500 0.000 0.000 Au
0.304 0.696 0.000 Au
0.696 0.000 0.304 Au
0.000 0.304 0.696 Au
0.696 0.304 0.000 Au
0.304 0.000 0.696 Au
0.000 0.696 0.304 Au
0.841 0.357 0.357 Au
0.357 0.357 0.841 Au
0.357 0.841 0.357 Au
0.643 0.159 0.643 Au
```

***

(16)
Here is crystalline AsP2Pb at its relaxed geometry from the Alexandria database. Energies are from PBE-GGA.

D(E_F) = 0.526 states/eV/atom
Distance to the lowest polymorph of the same formula = 0.260 eV per atom
Energy relative to the elements = 460 meV/atom

Geometry as POSCAR:
```
AsP2Pb
1.0
5.544 -0.007 0.000
1.760 5.257 0.000
-2.827 -3.772 2.917
As P Pb
1 2 1
direct
0.750 0.250 0.500 As
0.951 0.951 0.000 P
0.549 0.549 0.000 P
0.250 0.750 0.500 Pb
```

***

(17)
Here is crystalline KCo2Sb at its relaxed geometry from the Alexandria database. Energies are from PBE-GGA.

D(E_F) = 0.866 states/eV/atom
Distance to the lowest polymorph of the same formula = 0.214 eV per atom
Formation energy from raw total energies = 0.316 eV/atom

Geometry as POSCAR:
```
KCo2Sb
1.0
-0.993 0.888 -3.499
-2.896 -0.672 0.651
-2.686 6.909 2.515
Co K Sb
2 1 1
direct
0.000 0.774 0.068 Co
0.500 0.248 0.121 Co
0.000 0.583 0.476 K
0.500 0.896 0.834 Sb
```

***

(18)
Here is crystalline PrTh2PdRh5 at its relaxed geometry from the Alexandria database. Energies are from PBE-GGA.

D(E_F) = 0.839 states/eV/atom
Energy relative to the elements = -380 meV/atom

Geometry as POSCAR:
```
PrTh2PdRh5
1.0
-4.959 -5.197 4.325
5.513 -0.003 6.318
-2.835 6.899 -3.088
Pr Th Pd Rh
2 4 2 10
direct
0.250 0.250 0.500 Pr
0.750 0.750 0.500 Pr
0.140 0.360 0.000 Th
0.640 0.140 0.000 Th
0.360 0.860 0.000 Th
0.860 0.640 0.000 Th
0.250 0.750 0.500 Pd
0.750 0.250 0.500 Pd
0.946 0.446 0.265 Rh
0.680 0.180 0.735 Rh
0.054 0.554 0.735 Rh
0.180 0.054 0.735 Rh
0.554 0.680 0.735 Rh
0.820 0.946 0.265 Rh
0.446 0.320 0.265 Rh
0.320 0.820 0.265 Rh
0.500 0.500 0.000 Rh
0.000 0.000 0.000 Rh
```

***

(19)
Here is crystalline Nd3SnGe2 at its relaxed geometry from the Alexandria database. Energies are from PBE-GGA.

D(E_F) = 0.616 states/eV/atom
Distance to the lowest polymorph of the same formula = 0.101 eV per atom
Energy relative to the elements = -609 meV/atom

Geometry as POSCAR:
```
Nd3SnGe2
1.0
4.356 0.000 -1.378
0.000 4.291 0.000
0.279 0.000 8.457
Nd Sn Ge
3 1 2
direct
0.327 0.000 0.654 Nd
0.673 0.000 0.346 Nd
0.500 0.500 0.000 Nd
0.000 0.000 0.000 Sn
0.149 0.500 0.299 Ge
0.851 0.500 0.701 Ge
```

***

(20)
Here is crystalline Nd3MnTl3S8 at its relaxed geometry from the Alexandria database. Energies are from PBE-GGA.

D(E_F) = 0.032 states/eV/atom
Formation energy from raw total energies = -1.179 eV/atom

Geometry as POSCAR:
```
Nd3MnTl3S8
1.0
8.053 0.000 0.000
-4.026 6.974 -0.029
0.000 -4.617 7.608
Nd Mn Tl S
3 1 3 8
direct
0.500 0.000 0.500 Nd
0.500 0.500 0.500 Nd
0.000 0.500 0.500 Nd
0.000 0.000 0.500 Mn
0.000 0.000 0.000 Tl
0.000 0.500 0.000 Tl
0.500 0.500 0.000 Tl
0.264 0.528 0.293 S
0.736 0.472 0.707 S
0.794 0.589 0.316 S
0.206 0.411 0.684 S
0.794 0.022 0.316 S
0.206 0.978 0.684 S
0.227 0.022 0.316 S
0.773 0.978 0.684 S
```